Entry 1:
{"formula": "YMoAs2", "functional": "PBE", "state": "optimized geometry", "spacegroup": "I-4m2", "lattice": [[-2.950, -3.290, 3.748], [2.372, -1.965, 4.908], [-0.577, 4.932, -2.987]], "species": ["As", "As", "Mo", "Y"], "frac_coords": [[0.250, 0.750, 0.500], [0.000, 0.000, 0.000], [0.500, 0.500, 0.000], [0.750, 0.250, 0.500]]}

---

Entry 2:
{"formula": "YMo2As", "functional": "PBE", "state": "optimized geometry", "spacegroup": "C2/m", "lattice": [[4.690, -0.001, -0.003], [-2.317, 5.237, -0.003], [0.055, 0.973, 3.035]], "species": ["Mo", "Mo", "Y", "As"], "frac_coords": [[0.500, 0.000, 0.500], [0.000, 0.000, 0.000], [0.000, 0.500, 0.500], [0.500, 0.500, 0.000]]}

---

Entry 3:
{"formula": "Y2MoAs", "functional": "PBE", "state": "optimized geometry", "spacegroup": "F-43m", "lattice": [[4.895, 0.000, 0.000], [2.447, 4.239, 0.000], [2.447, 1.413, 3.997]], "species": ["Y", "Y", "As", "Mo"], "frac_coords": [[0.000, 0.000, 0.000], [0.250, 0.250, 0.250], [0.500, 0.500, 0.500], [0.750, 0.750, 0.750]]}

---

Entry 4:
{"formula": "Y2MoAs", "functional": "PBE", "state": "optimized geometry", "spacegroup": "P4mm", "lattice": [[3.420, 0.000, 0.000], [0.000, 3.420, 0.000], [0.000, 0.000, 7.960]], "species": ["Y", "Y", "As", "Mo"], "frac_coords": [[0.000, 0.000, 0.941], [0.500, 0.500, 0.316], [0.000, 0.000, 0.555], [0.500, 0.500, 0.688]]}

---

Entry 5:
{"formula": "ZnMoAs2", "functional": "PBE", "state": "optimized geometry", "spacegroup": "R-3m", "lattice": [[-4.985, -5.174, 2.194], [-2.175, -6.948, 1.852], [-2.730, -5.223, 4.658]], "species": ["Mo", "Zn", "As", "As"], "frac_coords": [[0.250, 0.250, 0.250], [0.750, 0.750, 0.750], [0.996, 0.996, 0.996], [0.504, 0.504, 0.504]]}

---

Entry 6:
{"formula": "Zn4MoAs", "functional": "PBE", "state": "optimized geometry", "spacegroup": "F-43m", "lattice": [[0.000, 3.575, 3.575], [3.575, 0.000, 3.575], [3.575, 3.575, 0.000]], "species": ["Mo", "Zn", "Zn", "Zn", "Zn", "As"], "frac_coords": [[0.000, 0.000, 0.000], [0.121, 0.626, 0.626], [0.626, 0.121, 0.626], [0.626, 0.626, 0.626], [0.626, 0.626, 0.121], [0.250, 0.250, 0.250]]}

---

Entry 7:
{"formula": "ZnMoAs2", "functional": "PBE", "state": "optimized geometry", "spacegroup": "Imm2", "lattice": [[5.394, 0.110, -0.005], [2.572, 4.742, 0.005], [-3.628, -3.008, 2.625]], "species": ["As", "As", "Mo", "Zn"], "frac_coords": [[0.731, 0.231, 0.500], [0.006, 0.006, 0.000], [0.510, 0.510, 0.000], [0.253, 0.753, 0.500]]}

---

Entry 8:
{"formula": "ZnMoAs2", "functional": "PBE", "state": "optimized geometry", "spacegroup": "Pm", "lattice": [[4.114, 0.000, 0.000], [0.000, 3.329, 0.011], [0.000, 1.661, 4.896]], "species": ["As", "As", "Zn", "Mo"], "frac_coords": [[0.500, 0.275, 0.325], [0.000, 0.996, 0.884], [0.500, 0.525, 0.825], [0.000, 0.704, 0.467]]}

---

Entry 9:
{"formula": "ZnMoAs2", "functional": "PBE", "state": "optimized geometry", "spacegroup": "Pmmm", "lattice": [[-1.236, -2.671, 1.589], [-2.028, -1.500, -4.098], [3.408, -2.119, -0.911]], "species": ["As", "As", "Zn", "Mo"], "frac_coords": [[0.000, 0.000, 0.000], [0.500, 0.500, 0.000], [0.000, 0.500, 0.500], [0.500, 0.000, 0.500]]}

---

Entry 10:
{"formula": "ZnMoAs2", "functional": "PBE", "state": "optimized geometry", "spacegroup": "Immm", "lattice": [[4.854, -0.007, 0.007], [1.279, 4.683, -0.007], [-2.592, -2.960, 2.843]], "species": ["As", "As", "Mo", "Zn"], "frac_coords": [[0.015, 0.015, 0.000], [0.485, 0.485, 0.000], [0.750, 0.250, 0.500], [0.250, 0.750, 0.500]]}

---

Entry 11:
{"formula": "ZnMoAs2", "functional": "PBE", "state": "optimized geometry", "spacegroup": "P4mm", "lattice": [[3.406, 0.000, 0.000], [0.000, 3.406, 0.000], [0.000, 0.000, 6.465]], "species": ["Zn", "As", "As", "Mo"], "frac_coords": [[0.500, 0.500, 0.749], [0.500, 0.500, 0.342], [0.000, 0.000, 0.899], [0.000, 0.000, 0.509]]}

---

Entry 12:
{"formula": "ZnMoAs2", "functional": "PBE", "state": "optimized geometry", "spacegroup": "P4/mmm", "lattice": [[-2.594, 1.905, -0.665], [-1.936, -2.042, 1.699], [1.065, 3.228, 5.093]], "species": ["As", "As", "Zn", "Mo"], "frac_coords": [[0.000, 0.000, 0.022], [0.000, 0.000, 0.478], [0.500, 0.500, 0.750], [0.500, 0.500, 0.250]]}

---

no.,calculated formation energy (kcal/mol of atoms),mass density (g/cm3)
1,-3.70,7.0
2,5.20,7.9
3,2.52,7.0
4,-5.68,6.2
5,-0.86,7.4
6,6.47,7.9
7,5.39,7.8
8,0.19,7.7
9,8.57,7.8
10,4.00,8.0
11,2.77,6.9
12,-0.51,7.8